Entry 1:
VASP calculation (PBE) on a relaxed CsRbTlSb2 crystal.

Calculated values
- Mass density: 5.17 g cm⁻³
- V: 42.8 Å³/atom
- M_tot: 0.0 Bohr magnetons per cell
- SG: Imm2, No. 44
- Total DFT energy (no corrections): -2.699 eV per atom

Lattice parameters (Å, degrees): 4.4002 6.4056 8.5328 112.05 104.94 90.00
Closest atoms and distances in Å follow each position.
Sites, in units of the cell vectors:
Rb  0.1726  0.6726  0.3452  2 Tl 3.59, 6 Sb 3.62-3.90
Sb  0.0611  0.0611  0.1223  2 Sb 2.95, 1 Tl 3.06
Sb  0.6910  0.1910  0.3819  2 Sb 2.95
Tl  0.8597  0.8597  0.7194  1 Sb 3.06
Cs  0.4278  0.4278  0.8555  4 Tl 4.02, 6 Sb 4.22-4.38, 2 Rb 4.32, 2 Cs 4.40

---

Entry 2:
VASP calculation (PBE) on a relaxed YTeRu2 crystal.

Calculated values
- Mass density: 9.49 g cm⁻³
- V: 18.3 Å³/atom
- M_tot: 0.0 Bohr magnetons per cell
- SG: P4/mmm, No. 123
- Total DFT energy (no corrections): -7.254 eV per atom

Lattice parameters (Å, degrees): 4.5094 4.5116 3.6004 90.00 90.00 90.00
Closest atoms and distances in Å follow each position.
Sites, in units of the cell vectors:
Y  0.5000  0.8750  0.6252  8 Ru 2.88-2.89, 4 Te 3.19
Ru  0.0000  0.8750  0.1250  4 Y 2.88-2.89, 4 Te 2.89, 4 Ru 3.19
Ru  0.5000  0.3750  0.1251  4 Te 2.88-2.89, 4 Y 2.89, 4 Ru 3.19
Te  0.0000  0.3750  0.6247  8 Ru 2.88-2.89, 4 Y 3.19

---

Entry 3:
VASP calculation (PBE) on a relaxed SrCaN2F crystal.

Calculated values
- Mass density: 3.17 g cm⁻³
- V: 18.3 Å³/atom
- M_tot: 0.5 Bohr magnetons per cell
- SG: P4/mmm, No. 123
- Total DFT energy (no corrections): -4.646 eV per atom

Lattice parameters (Å, degrees): 4.4698 4.4698 4.5739 90.00 90.00 90.00
Closest atoms and distances in Å follow each position.
Sites, in units of the cell vectors:
N  0.5000  0.0000  0.0000  2 Sr 2.23
N  0.0000  0.5000  0.0000  2 Sr 2.23
Sr  0.0000  0.0000  0.0000  4 N 2.23, 2 F 2.29
Ca  0.5000  0.5000  0.5000  4 F 3.16, 8 N 3.20
F  0.0000  0.0000  0.5000  2 Sr 2.29

---

Entry 4:
VASP calculation (PBE) on a relaxed Nb2CrPt2 crystal.

Calculated values
- Formation enthalpy at 0 K: -0.507 eV/f.u.
- Mass density: 12.31 g cm⁻³
- V: 16.9 Å³/atom
- M_tot: 0.0 Bohr magnetons per cell
- SG: P4/mbm, No. 127

Lattice parameters (Å, degrees): 6.6295 6.6295 3.8553 90.00 90.00 90.00
Closest atoms and distances in Å follow each position.
Sites, in units of the cell vectors:
Pt  0.6374  0.1374  0.0000  2 Cr 2.57, 1 Pt 2.58, 6 Nb 2.63-2.82
Pt  0.1374  0.3626  0.0000  2 Cr 2.57, 1 Pt 2.58, 6 Nb 2.63-2.82
Pt  0.8626  0.6374  0.0000  2 Cr 2.57, 1 Pt 2.58, 6 Nb 2.63-2.82
Pt  0.3626  0.8626  0.0000  2 Cr 2.57, 1 Pt 2.58, 6 Nb 2.63-2.82
Cr  0.0000  0.0000  0.0000  4 Pt 2.57
Cr  0.5000  0.5000  0.0000  4 Pt 2.57
Nb  0.8283  0.3283  0.5000  6 Pt 2.63-2.82
Nb  0.3283  0.1717  0.5000  6 Pt 2.63-2.82
Nb  0.1717  0.6717  0.5000  6 Pt 2.63-2.82
Nb  0.6717  0.8283  0.5000  6 Pt 2.63-2.82

---

Entry 5:
VASP calculation (PBE) on a relaxed Li5SmAg2 crystal.

Calculated values
- Formation enthalpy at 0 K: -0.736 eV/f.u.
- Mass density: 4.09 g cm⁻³
- V: 20.3 Å³/atom
- M_tot: 0.0 Bohr magnetons per cell
- SG: Immm, No. 71

Lattice parameters (Å, degrees): 3.3647 7.2232 7.2232 75.78 76.53 76.53
Closest atoms and distances in Å follow each position.
Sites, in units of the cell vectors:
Ag  0.7425  0.7575  0.7575  7 Li 2.77-2.82
Ag  0.2575  0.2425  0.2425  7 Li 2.77-2.82
Li  0.3553  0.8507  0.4387  3 Ag 2.77-2.82, 4 Li 2.94-2.95
Li  0.0000  0.5000  0.5000  2 Ag 2.81, 8 Li 2.94
Li  0.3553  0.4387  0.8507  3 Ag 2.77-2.82, 4 Li 2.94-2.95
Li  0.6447  0.5613  0.1493  3 Ag 2.77-2.82, 4 Li 2.94-2.95
Li  0.6447  0.1493  0.5613  3 Ag 2.77-2.82, 4 Li 2.94-2.95
Sm  0.0000  0.0000  0.0000  4 Ag 3.13, 2 Sm 3.36, 8 Li 3.48

---

Entry 6:
VASP calculation (PBE) on a relaxed Cs8AgPtAu2 crystal.

Calculated values
- Formation enthalpy at 0 K: -0.984 eV/f.u.
- Mass density: 3.74 g cm⁻³
- V: 65.1 Å³/atom
- M_tot: 1.8 Bohr magnetons per cell
- SG: P2/m, No. 10

Lattice parameters (Å, degrees): 8.6470 8.5647 10.5476 89.99 90.00 89.44
Closest atoms and distances in Å follow each position.
Sites, in units of the cell vectors:
Cs  0.3058  0.2533  0.0000  1 Pt 3.44, 2 Au 3.70
Cs  0.8303  0.2217  0.7732  1 Pt 3.38, 1 Au 3.70, 1 Ag 3.74
Cs  0.6601  0.7220  0.5000  2 Au 3.63, 1 Ag 3.80
Cs  0.6942  0.7467  0.0000  1 Pt 3.44, 2 Au 3.70
Cs  0.1697  0.7783  0.7732  1 Pt 3.38, 1 Au 3.70, 1 Ag 3.74
Cs  0.8303  0.2217  0.2268  1 Pt 3.38, 1 Au 3.70, 1 Ag 3.74
Cs  0.1697  0.7783  0.2268  1 Pt 3.38, 1 Au 3.70, 1 Ag 3.74
Cs  0.3399  0.2780  0.5000  2 Au 3.63, 1 Ag 3.80
Pt  0.0000  0.0000  0.0000  6 Cs 3.38-3.44
Au  0.5000  0.5000  0.2393  6 Cs 3.63-3.70
Au  0.5000  0.5000  0.7607  6 Cs 3.63-3.70
Ag  0.0000  0.0000  0.5000  6 Cs 3.74-3.80

---

Copy entry 3 word for word.
VASP calculation (PBE) on a relaxed SrCaN2F crystal.

Calculated values
- Mass density: 3.17 g cm⁻³
- V: 18.3 Å³/atom
- M_tot: 0.5 Bohr magnetons per cell
- SG: P4/mmm, No. 123
- Total DFT energy (no corrections): -4.646 eV per atom

Lattice parameters (Å, degrees): 4.4698 4.4698 4.5739 90.00 90.00 90.00
Closest atoms and distances in Å follow each position.
Sites, in units of the cell vectors:
N  0.5000  0.0000  0.0000  2 Sr 2.23
N  0.0000  0.5000  0.0000  2 Sr 2.23
Sr  0.0000  0.0000  0.0000  4 N 2.23, 2 F 2.29
Ca  0.5000  0.5000  0.5000  4 F 3.16, 8 N 3.20
F  0.0000  0.0000  0.5000  2 Sr 2.29

---

Please write out number 4 again, unchanged.
VASP calculation (PBE) on a relaxed Nb2CrPt2 crystal.

Calculated values
- Formation enthalpy at 0 K: -0.507 eV/f.u.
- Mass density: 12.31 g cm⁻³
- V: 16.9 Å³/atom
- M_tot: 0.0 Bohr magnetons per cell
- SG: P4/mbm, No. 127

Lattice parameters (Å, degrees): 6.6295 6.6295 3.8553 90.00 90.00 90.00
Closest atoms and distances in Å follow each position.
Sites, in units of the cell vectors:
Pt  0.6374  0.1374  0.0000  2 Cr 2.57, 1 Pt 2.58, 6 Nb 2.63-2.82
Pt  0.1374  0.3626  0.0000  2 Cr 2.57, 1 Pt 2.58, 6 Nb 2.63-2.82
Pt  0.8626  0.6374  0.0000  2 Cr 2.57, 1 Pt 2.58, 6 Nb 2.63-2.82
Pt  0.3626  0.8626  0.0000  2 Cr 2.57, 1 Pt 2.58, 6 Nb 2.63-2.82
Cr  0.0000  0.0000  0.0000  4 Pt 2.57
Cr  0.5000  0.5000  0.0000  4 Pt 2.57
Nb  0.8283  0.3283  0.5000  6 Pt 2.63-2.82
Nb  0.3283  0.1717  0.5000  6 Pt 2.63-2.82
Nb  0.1717  0.6717  0.5000  6 Pt 2.63-2.82
Nb  0.6717  0.8283  0.5000  6 Pt 2.63-2.82

---

Q: Among the records above, which one has the highest M_tot?
A: Cs8AgPtAu2

---

Q: Number 4 is which compound?
A: Nb2CrPt2